(1)
A geometry-optimized RbInPb2 structure. Source: Alexandria via LeMat-Bulk, functional PBE-GGA.

The space group is R3m (No. 160, hexagonal axes) and the conventional cell measures 5.0096, 5.0096 and 22.3889 Å, with angles of 90.00, 90.00 and 120.00 degrees. Symmetry generates all atoms from Rb at (0.0000, 0.0000, 0.0000), In at (0.0000, 0.0000, 0.1810), Pb at (0.0000, 0.0000, 0.5595) and Pb at (0.0000, 0.0000, 0.7911).



(2)
A geometry-optimized Rb2In5Pb12 structure. Source: Alexandria via LeMat-Bulk, functional PBE-GGA.

The space group is R-3m (No. 166, hexagonal axes) and the conventional cell measures 11.3713, 11.3713 and 17.1567 Å, with angles of 90.00, 90.00 and 120.00 degrees. Symmetry generates all atoms from Rb at (0.0000, 0.0000, 0.1581), In at (0.0000, 0.0000, 0.4026), In at (0.0000, 0.5000, 0.0000), Pb at (0.0000, 0.2939, 0.5000) and Pb at (0.0031, 0.5016, 0.3499).



Record order is preserved below.
Energy relative to the elements: -10 -35 meV per atom